<A>
First-principles (GGA-PBE) data for a relaxed structure of Bi2MoBr2, as listed in Alexandria via LeMat-Bulk.

abc: 7.8770 7.8770 5.6411
angles: 90.00 90.00 90.00
Closest atoms and distances in Å follow each position.
Element x y z (fractional)
Mo1 0.0000 0.0000 0.0000  4 Bi 2.79
Mo2 0.5000 0.5000 0.0000  4 Bi 2.79
Bi1 0.2583 0.7583 0.0000  2 Mo 2.79, 2 Br 2.95
Bi2 0.7583 0.7417 0.0000  2 Mo 2.79, 2 Br 2.95
Bi3 0.7417 0.2417 0.0000  2 Mo 2.79, 2 Br 2.95
Bi4 0.2417 0.2583 0.0000  2 Mo 2.79, 2 Br 2.95
Br1 0.1822 0.6822 0.5000  2 Bi 2.95
Br2 0.6822 0.8178 0.5000  2 Bi 2.95
Br3 0.8178 0.3178 0.5000  2 Bi 2.95
Br4 0.3178 0.1822 0.5000  2 Bi 2.95

## Properties
Theoretical density, Mg/m³: 6.4


<B>
First-principles (GGA-PBE) data for a relaxed structure of Bi2MoBr2, as listed in Alexandria via LeMat-Bulk.

abc: 3.8071 3.8071 10.7088
angles: 79.76 79.76 90.00
Closest atoms and distances in Å follow each position.
Element x y z (fractional)
Mo1 0.0000 0.0000 0.0000  8 Bi 3.10
Bi1 0.4254 0.4254 0.1491  1 Bi 3.09, 4 Mo 3.10
Bi2 0.5746 0.5746 0.8509  1 Bi 3.09, 4 Mo 3.10
Br1 0.7500 0.2500 0.5000  4 Br 2.69
Br2 0.2500 0.7500 0.5000  4 Br 2.69

## Properties
Theoretical density, Mg/m³: 7.4


Energies relative to the most stable structure are <A> 0.000; <B> 0.092, reported in eV/atom.


<A>
First-principles (GGA-PBE) data for a relaxed structure of Bi3MoBr, as listed in Alexandria via LeMat-Bulk.

abc: 5.6001 5.6001 5.6001
angles: 90.00 90.00 90.00
Closest atoms and distances in Å follow each position.
Element x y z (fractional)
Mo1 0.5000 0.5000 0.5000  12 Bi 3.96
Bi1 0.0000 0.5000 0.0000  2 Br 2.80
Bi2 0.0000 0.0000 0.5000  2 Br 2.80
Bi3 0.5000 0.0000 0.0000  2 Br 2.80
Br1 0.0000 0.0000 0.0000  6 Bi 2.80

## Properties
Theoretical density, Mg/m³: 7.6


<B>
First-principles (GGA-PBE) data for a relaxed structure of Bi3MoBr, as listed in Alexandria via LeMat-Bulk.

abc: 5.3986 5.3986 5.3986
angles: 90.00 90.00 90.00
Closest atoms and distances in Å follow each position.
Element x y z (fractional)
Mo1 0.0000 0.0000 0.0000  6 Bi 2.70
Bi1 0.0000 0.5000 0.0000  2 Mo 2.70
Bi2 0.0000 0.0000 0.5000  2 Mo 2.70
Bi3 0.5000 0.0000 0.0000  2 Mo 2.70
Br1 0.5000 0.5000 0.5000  12 Bi 3.82

## Properties
Theoretical density, Mg/m³: 8.5


Energies relative to the most stable structure are <A> 1.110; <B> 0.000, reported in eV/atom.


<A>
First-principles (GGA-PBE) data for a relaxed structure of BiBrN2, as listed in Alexandria via LeMat-Bulk.

abc: 6.8259 6.8259 6.8259
angles: 30.44 30.44 30.44
Closest atoms and distances in Å follow each position.
Element x y z (fractional)
Bi1 0.5000 0.5000 0.5000  6 N 2.36
Br1 0.0000 0.0000 0.0000  2 N 2.12
N1 0.8913 0.8913 0.8913  1 Br 2.12, 3 Bi 2.36
N2 0.1087 0.1087 0.1087  1 Br 2.12, 3 Bi 2.36

## Properties
Theoretical density, Mg/m³: 7.3


<B>
First-principles (GGA-PBE) data for a relaxed structure of BiBrN2, as listed in Alexandria via LeMat-Bulk.

abc: 7.3830 3.5090 12.8929
angles: 82.21 93.63 117.91
Closest atoms and distances in Å follow each position.
Element x y z (fractional)
Bi1 0.0000 0.5000 0.5000  2 Br 2.88
Bi2 0.5000 0.0000 0.5000  2 Br 2.88
Br1 0.2500 0.6575 0.6863  2 Bi 2.88
Br2 0.7500 0.3425 0.3137  2 Bi 2.88
N1 0.6652 0.9524 0.9117  1 N 1.11
N2 0.3348 0.0476 0.0883  1 N 1.11
N3 0.8356 0.1381 0.9116  1 N 1.11
N4 0.1644 0.8619 0.0884  1 N 1.11

## Properties
Theoretical density, Mg/m³: 3.6


Energies relative to the most stable structure are <A> 1.187; <B> 0.000, reported in eV/atom.


<A>
First-principles (GGA-PBE) data for a relaxed structure of BiBrN2, as listed in Alexandria via LeMat-Bulk.

abc: 7.3661 7.3661 7.3661
angles: 26.30 26.30 26.30
Closest atoms and distances in Å follow each position.
Element x y z (fractional)
Bi1 0.0000 0.0000 0.0000  2 N 2.42
Br1 0.5000 0.5000 0.5000  6 N 2.24
N1 0.8865 0.8865 0.8865  3 Br 2.24, 1 Bi 2.42
N2 0.1135 0.1135 0.1135  3 Br 2.24, 1 Bi 2.42

## Properties
Theoretical density, Mg/m³: 7.6


<B>
First-principles (GGA-PBE) data for a relaxed structure of BiBrN2, as listed in Alexandria via LeMat-Bulk.

abc: 4.4002 4.4002 4.4002
angles: 60.00 60.00 60.00
Closest atoms and distances in Å follow each position.
Element x y z (fractional)
Bi1 0.5000 0.5000 0.5000  8 N 2.69
Br1 0.0000 0.0000 0.0000  8 N 2.69
N1 0.2500 0.2500 0.2500  4 Bi 2.69, 4 Br 2.69
N2 0.7500 0.7500 0.7500  4 Bi 2.69, 4 Br 2.69

## Properties
Theoretical density, Mg/m³: 8.7


Energies relative to the most stable structure are <A> 0.000; <B> 0.147, reported in eV/atom.


<A>
First-principles (GGA-PBE) data for a relaxed structure of BiBr2N, as listed in Alexandria via LeMat-Bulk.

abc: 5.0983 5.0983 5.0983
angles: 60.00 60.00 60.00
Closest atoms and distances in Å follow each position.
Element x y z (fractional)
Bi1 0.5000 0.5000 0.5000  8 Br 3.12
Br1 0.2500 0.2500 0.2500  4 Bi 3.12, 4 N 3.12
Br2 0.7500 0.7500 0.7500  4 Bi 3.12, 4 N 3.12
N1 0.0000 0.0000 0.0000  8 Br 3.12

## Properties
Theoretical density, Mg/m³: 6.8


<B>
First-principles (GGA-PBE) data for a relaxed structure of BiBr2N, as listed in Alexandria via LeMat-Bulk.

abc: 6.5178 6.5178 6.8090
angles: 61.41 61.41 90.00
Closest atoms and distances in Å follow each position.
Element x y z (fractional)
Bi1 0.0000 0.0000 0.0000  12 Br 3.85-4.10, 4 Bi 4.11, 4 N 4.11
Bi2 0.7500 0.2500 0.5000  12 Br 3.85-4.10, 4 Bi 4.11, 4 N 4.11
Br1 0.3750 0.1250 0.2500  2 N 2.06
Br2 0.3750 0.6250 0.2500  2 N 2.06
Br3 0.3750 0.6250 0.7500  2 N 2.06
Br4 0.8750 0.6250 0.7500  2 N 2.06
N1 0.5000 0.5000 0.0000  4 Br 2.06
N2 0.2500 0.7500 0.5000  4 Br 2.06

## Properties
Theoretical density, Mg/m³: 6.0


<C>
First-principles (GGA-PBE) data for a relaxed structure of BiBr2N, as listed in Alexandria via LeMat-Bulk.

abc: 4.1989 8.3340 8.9885
angles: 80.22 90.00 104.59
Closest atoms and distances in Å follow each position.
Element x y z (fractional)
Bi1 0.3699 0.7398 0.2977  1 N 2.23
Bi2 0.6301 0.2602 0.7023  1 N 2.23
Br1 0.7441 0.4881 0.2897  2 Bi 2.93
Br2 0.2559 0.5119 0.7103  2 Bi 2.93
Br3 0.0041 0.0082 0.7468  2 Bi 2.90
Br4 0.9959 0.9918 0.2532  2 Bi 2.90
N1 0.3802 0.7605 0.0475  1 Bi 2.23
N2 0.6198 0.2395 0.9525  1 Bi 2.23

## Properties
Theoretical density, Mg/m³: 4.2


<D>
First-principles (GGA-PBE) data for a relaxed structure of BiBr2N, as listed in Alexandria via LeMat-Bulk.

abc: 9.1328 9.1328 9.1328
angles: 23.43 23.43 23.43
Closest atoms and distances in Å follow each position.
Element x y z (fractional)
Bi1 0.0000 0.0000 0.0000  2 Br 2.78
Br1 0.8956 0.8956 0.8956  3 N 2.71, 1 Bi 2.78
Br2 0.1044 0.1044 0.1044  3 N 2.71, 1 Bi 2.78
N1 0.5000 0.5000 0.5000  6 Br 2.71

## Properties
Theoretical density, Mg/m³: 6.0


Energies relative to the most stable structure are <A> 0.454; <B> 0.514; <C> 0.000; <D> 0.648, reported in eV/atom.


<A>
First-principles (GGA-PBE) data for a relaxed structure of BiSBrN2, as listed in Alexandria via LeMat-Bulk.

abc: 4.1347 4.1347 4.8757
angles: 90.00 90.00 90.00
Closest atoms and distances in Å follow each position.
Element x y z (fractional)
S1 0.0000 0.0000 0.5000  2 Br 2.44
Bi1 0.5000 0.5000 0.5000  4 S 2.92, 8 N 3.20
Br1 0.0000 0.0000 0.0000  4 N 2.07
N1 0.0000 0.5000 0.0000  2 Br 2.07
N2 0.5000 0.0000 0.0000  2 Br 2.07

## Properties
Theoretical density, Mg/m³: 7.0


<B>
First-principles (GGA-PBE) data for a relaxed structure of BiSBrN2, as listed in Alexandria via LeMat-Bulk.

abc: 4.4492 4.4492 5.7108
angles: 90.00 90.00 90.00
Closest atoms and distances in Å follow each position.
Element x y z (fractional)
S1 0.0000 0.0000 0.5000  2 Bi 2.86, 4 Br 3.15
Bi1 0.0000 0.0000 0.0000  4 N 2.22
Br1 0.5000 0.5000 0.5000  4 S 3.15
N1 0.0000 0.5000 0.0000  2 Bi 2.22
N2 0.5000 0.0000 0.0000  2 Bi 2.22

## Properties
Theoretical density, Mg/m³: 5.1


Energies relative to the most stable structure are <A> 0.131; <B> 0.000, reported in eV/atom.


<A>
First-principles (GGA-PBE) data for a relaxed structure of BiSeBrN2, as listed in Alexandria via LeMat-Bulk.

abc: 4.2419 4.2419 5.1327
angles: 90.00 90.00 90.00
Closest atoms and distances in Å follow each position.
Element x y z (fractional)
Se1 0.0000 0.0000 0.5000  2 Br 2.57
Bi1 0.5000 0.5000 0.5000  4 Se 3.00, 8 N 3.33
Br1 0.0000 0.0000 0.0000  4 N 2.12
N1 0.0000 0.5000 0.0000  2 Br 2.12
N2 0.5000 0.0000 0.0000  2 Br 2.12

## Properties
Theoretical density, Mg/m³: 7.1


<B>
First-principles (GGA-PBE) data for a relaxed structure of BiSeBrN2, as listed in Alexandria via LeMat-Bulk.

abc: 4.4061 4.4061 6.1564
angles: 90.00 90.00 90.00
Closest atoms and distances in Å follow each position.
Element x y z (fractional)
Se1 0.0000 0.0000 0.5000  2 Bi 3.08, 4 Br 3.12
Bi1 0.0000 0.0000 0.0000  4 N 2.20
Br1 0.5000 0.5000 0.5000  4 Se 3.12
N1 0.0000 0.5000 0.0000  2 Bi 2.20
N2 0.5000 0.0000 0.0000  2 Bi 2.20

## Properties
Theoretical density, Mg/m³: 5.5


Energies relative to the most stable structure are <A> 0.288; <B> 0.000, reported in eV/atom.


<A>
First-principles (GGA-PBE) data for a relaxed structure of BiTe2BrN, as listed in Alexandria via LeMat-Bulk.

abc: 5.9191 5.9191 3.7800
angles: 90.00 90.00 90.00
Closest atoms and distances in Å follow each position.
Element x y z (fractional)
Te1 0.0000 0.5000 0.0000  2 Br 2.96
Te2 0.5000 0.0000 0.0000  2 Br 2.96
Bi1 0.5000 0.5000 0.5000  8 Te 3.51, 2 Bi 3.78
Br1 0.0000 0.0000 0.0000  2 N 1.89
N1 0.0000 0.0000 0.5000  2 Br 1.89

## Properties
Theoretical density, Mg/m³: 7.0


<B>
First-principles (GGA-PBE) data for a relaxed structure of BiTe2BrN, as listed in Alexandria via LeMat-Bulk.

abc: 6.1623 6.1623 4.4150
angles: 90.00 90.00 90.00
Closest atoms and distances in Å follow each position.
Element x y z (fractional)
Te1 0.0000 0.5000 0.0000  2 Bi 3.08
Te2 0.5000 0.0000 0.0000  2 Bi 3.08
Bi1 0.0000 0.0000 0.0000  2 N 2.21
Br1 0.5000 0.5000 0.5000  8 Te 3.79
N1 0.0000 0.0000 0.5000  2 Bi 2.21

## Properties
Theoretical density, Mg/m³: 5.5


Energies relative to the most stable structure are <A> 0.117; <B> 0.000, reported in eV/atom.


<A>
First-principles (GGA-PBE) data for a relaxed structure of BiTeBrN2, as listed in Alexandria via LeMat-Bulk.

abc: 4.4226 4.4226 5.4810
angles: 90.00 90.00 90.00
Closest atoms and distances in Å follow each position.
Element x y z (fractional)
Te1 0.0000 0.0000 0.5000  2 Br 2.74
Bi1 0.5000 0.5000 0.5000  4 Te 3.13
Br1 0.0000 0.0000 0.0000  4 N 2.21
N1 0.0000 0.5000 0.0000  2 Br 2.21
N2 0.5000 0.0000 0.0000  2 Br 2.21

## Properties
Theoretical density, Mg/m³: 6.9


<B>
First-principles (GGA-PBE) data for a relaxed structure of BiTeBrN2, as listed in Alexandria via LeMat-Bulk.

abc: 4.4181 4.4181 6.6965
angles: 90.00 90.00 90.00
Closest atoms and distances in Å follow each position.
Element x y z (fractional)
Te1 0.0000 0.0000 0.5000  4 Br 3.12, 2 Bi 3.35
Bi1 0.0000 0.0000 0.0000  4 N 2.21
Br1 0.5000 0.5000 0.5000  4 Te 3.12
N1 0.0000 0.5000 0.0000  2 Bi 2.21
N2 0.5000 0.0000 0.0000  2 Bi 2.21

## Properties
Theoretical density, Mg/m³: 5.6


Energies relative to the most stable structure are <A> 0.472; <B> 0.000, reported in eV/atom.


<A>
First-principles (GGA-PBE) data for a relaxed structure of NaBi2Br, as listed in Alexandria via LeMat-Bulk.

abc: 4.4416 4.4416 14.7735
angles: 81.35 81.35 90.00
Closest atoms and distances in Å follow each position.
Element x y z (fractional)
Na1 0.5000 0.5000 0.0000  4 Br 3.14
Na2 0.2500 0.7500 0.5000  4 Br 3.14
Bi1 0.5992 0.1250 0.2500  4 Bi 2.98-3.31
Bi2 0.1508 0.6250 0.2500  4 Bi 2.98-3.31
Bi3 0.3750 0.4008 0.7500  4 Bi 2.98-3.31
Bi4 0.8750 0.8492 0.7500  4 Bi 2.98-3.31
Br1 0.0000 0.0000 0.0000  4 Na 3.14
Br2 0.7500 0.2500 0.5000  4 Na 3.14

## Properties
Theoretical density, Mg/m³: 6.1


<B>
First-principles (GGA-PBE) data for a relaxed structure of NaBi2Br, as listed in Alexandria via LeMat-Bulk.

abc: 5.5147 5.5147 5.5147
angles: 60.00 60.00 60.00
Closest atoms and distances in Å follow each position.
Element x y z (fractional)
Na1 0.0000 0.0000 0.0000  8 Bi 3.38
Bi1 0.2500 0.2500 0.2500  4 Br 3.38, 4 Na 3.38
Bi2 0.7500 0.7500 0.7500  4 Br 3.38, 4 Na 3.38
Br1 0.5000 0.5000 0.5000  8 Bi 3.38

## Properties
Theoretical density, Mg/m³: 7.3


Energies relative to the most stable structure are <A> 0.000; <B> 0.499, reported in eV/atom.


<A>
First-principles (GGA-PBE) data for a relaxed structure of NaBi3Br, as listed in Alexandria via LeMat-Bulk.

abc: 5.8119 5.8119 5.8119
angles: 90.00 90.00 90.00
Closest atoms and distances in Å follow each position.
Element x y z (fractional)
Na1 0.5000 0.5000 0.5000  12 Bi 4.11
Bi1 0.0000 0.5000 0.0000  2 Br 2.91
Bi2 0.0000 0.0000 0.5000  2 Br 2.91
Bi3 0.5000 0.0000 0.0000  2 Br 2.91
Br1 0.0000 0.0000 0.0000  6 Bi 2.91

## Properties
Theoretical density, Mg/m³: 6.2


<B>
First-principles (GGA-PBE) data for a relaxed structure of NaBi3Br, as listed in Alexandria via LeMat-Bulk.

abc: 5.6009 5.6009 5.6009
angles: 90.00 90.00 90.00
Closest atoms and distances in Å follow each position.
Element x y z (fractional)
Na1 0.0000 0.0000 0.0000  6 Bi 2.80
Bi1 0.0000 0.5000 0.0000  2 Na 2.80
Bi2 0.0000 0.0000 0.5000  2 Na 2.80
Bi3 0.5000 0.0000 0.0000  2 Na 2.80
Br1 0.5000 0.5000 0.5000  12 Bi 3.96

## Properties
Theoretical density, Mg/m³: 6.9


Energies relative to the most stable structure are <A> 0.000; <B> 0.092, reported in eV/atom.


<A>
First-principles (GGA-PBE) data for a relaxed structure of NbBiSe2Br, as listed in Alexandria via LeMat-Bulk.

abc: 5.5620 5.5620 5.4285
angles: 90.00 90.00 90.00
Closest atoms and distances in Å follow each position.
Element x y z (fractional)
Nb1 0.5000 0.5000 0.5000  8 Se 3.89, 4 Br 3.93
Se1 0.0000 0.5000 0.0000  2 Bi 2.78
Se2 0.5000 0.0000 0.0000  2 Bi 2.78
Bi1 0.0000 0.0000 0.0000  2 Br 2.71, 4 Se 2.78
Br1 0.0000 0.0000 0.5000  2 Bi 2.71

## Properties
Theoretical density, Mg/m³: 5.3


<B>
First-principles (GGA-PBE) data for a relaxed structure of NbBiSe2Br, as listed in Alexandria via LeMat-Bulk.

abc: 5.1198 5.1198 5.1562
angles: 90.00 90.00 90.00
Closest atoms and distances in Å follow each position.
Element x y z (fractional)
Nb1 0.0000 0.0000 0.0000  4 Se 2.56, 2 Br 2.58
Se1 0.0000 0.5000 0.0000  2 Nb 2.56
Se2 0.5000 0.0000 0.0000  2 Nb 2.56
Bi1 0.5000 0.5000 0.5000  4 Br 3.62, 8 Se 3.63
Br1 0.0000 0.0000 0.5000  2 Nb 2.58

## Properties
Theoretical density, Mg/m³: 6.6


Energies relative to the most stable structure are <A> 0.862; <B> 0.000, reported in eV/atom.


<A>
First-principles (GGA-PBE) data for a relaxed structure of NiBi3Br, as listed in Alexandria via LeMat-Bulk.

abc: 5.2499 5.2499 5.2499
angles: 90.00 90.00 90.00
Closest atoms and distances in Å follow each position.
Element x y z (fractional)
Ni1 0.0000 0.0000 0.0000  6 Bi 2.62
Bi1 0.0000 0.5000 0.0000  2 Ni 2.62
Bi2 0.0000 0.0000 0.5000  2 Ni 2.62
Bi3 0.5000 0.0000 0.0000  2 Ni 2.62
Br1 0.5000 0.5000 0.5000  12 Bi 3.71

## Properties
Theoretical density, Mg/m³: 8.8


<B>
First-principles (GGA-PBE) data for a relaxed structure of NiBi3Br, as listed in Alexandria via LeMat-Bulk.

abc: 5.6156 5.6156 5.6156
angles: 90.00 90.00 90.00
Closest atoms and distances in Å follow each position.
Element x y z (fractional)
Ni1 0.5000 0.5000 0.5000  12 Bi 3.97
Bi1 0.0000 0.5000 0.0000  2 Br 2.81
Bi2 0.0000 0.0000 0.5000  2 Br 2.81
Bi3 0.5000 0.0000 0.0000  2 Br 2.81
Br1 0.0000 0.0000 0.0000  6 Bi 2.81

## Properties
Theoretical density, Mg/m³: 7.2


Energies relative to the most stable structure are <A> 0.000; <B> 1.049, reported in eV/atom.